Record 1
# PBE TaHgW2, optimized geometry
# Spin magnetization in μB/f.u.: 0.000
# Raw total energy in eV per atom: -9.21
# Formation energy from the elements in eV per atom: 0.30
# Crystal system: orthorhombic
data_TaHgW2
_chemical_formula_sum 'Ta1 Hg1 W2'
_space_group_name_H-M_alt 'P 1'
_space_group_IT_number 1
_cell_length_a 2.8260
_cell_length_b 2.8260
_cell_length_c 9.3960
_cell_angle_alpha 90.00
_cell_angle_beta 90.00
_cell_angle_gamma 108.86
loop_
_space_group_symop_operation_xyz
'x,y,z'
loop_
_atom_site_label
_atom_site_type_symbol
_atom_site_fract_x
_atom_site_fract_y
_atom_site_fract_z
_atom_site_occupancy
Hg1 Hg 0.0000 0.0000 0.4979 1
Ta1 Ta 0.5000 0.5000 0.7648 1
W1 W 0.0000 0.0000 0.0042 1
W2 W 0.5000 0.5000 0.2331 1

=====

Record 2
# PBE Pm3Dy4Cd, optimized geometry
# Spin magnetization in μB/f.u.: 0.000
# Raw total energy in eV per atom: -4.26
# Formation energy from the elements in eV per atom: -0.07
# Crystal system: tetragonal
data_Pm3Dy4Cd
_chemical_formula_sum 'Pm3 Dy4 Cd1'
_space_group_name_H-M_alt 'P 1'
_space_group_IT_number 1
_cell_length_a 3.6028
_cell_length_b 3.6028
_cell_length_c 19.2689
_cell_angle_alpha 90.00
_cell_angle_beta 90.00
_cell_angle_gamma 90.00
loop_
_space_group_symop_operation_xyz
'x,y,z'
loop_
_atom_site_label
_atom_site_type_symbol
_atom_site_fract_x
_atom_site_fract_y
_atom_site_fract_z
_atom_site_occupancy
Cd1 Cd 0.5000 0.5000 0.0000 1
Dy1 Dy 0.0000 0.0000 0.8942 1
Dy2 Dy 0.0000 0.0000 0.1058 1
Dy3 Dy 0.0000 0.0000 0.3681 1
Dy4 Dy 0.0000 0.0000 0.6319 1
Pm1 Pm 0.5000 0.5000 0.2362 1
Pm2 Pm 0.5000 0.5000 0.5000 1
Pm3 Pm 0.5000 0.5000 0.7638 1

=====

Record 3
# PBE La3Ga7Os2, optimized geometry
# Spin magnetization in μB/f.u.: 0.000
# Raw total energy in eV per atom: -5.25
# Formation energy from the elements in eV per atom: -0.38
# Crystal system: tetragonal
data_La3Ga7Os2
_chemical_formula_sum 'La3 Ga7 Os2'
_space_group_name_H-M_alt 'P 1'
_space_group_IT_number 1
_cell_length_a 4.7567
_cell_length_b 4.7567
_cell_length_c 12.9741
_cell_angle_alpha 100.56
_cell_angle_beta 100.56
_cell_angle_gamma 90.00
loop_
_space_group_symop_operation_xyz
'x,y,z'
loop_
_atom_site_label
_atom_site_type_symbol
_atom_site_fract_x
_atom_site_fract_y
_atom_site_fract_z
_atom_site_occupancy
La1 La 0.3170 0.3170 0.6339 1
La2 La 0.6830 0.6830 0.3661 1
La3 La 0.5000 0.5000 0.0000 1
Ga1 Ga 0.0000 0.0000 0.0000 1
Ga2 Ga 0.9066 0.4066 0.8133 1
Ga3 Ga 0.4066 0.9066 0.8133 1
Ga4 Ga 0.0934 0.5934 0.1867 1
Ga5 Ga 0.5934 0.0934 0.1867 1
Ga6 Ga 0.1971 0.1971 0.3941 1
Ga7 Ga 0.8029 0.8029 0.6059 1
Os1 Os 0.0962 0.0962 0.1924 1
Os2 Os 0.9038 0.9038 0.8076 1

=====

Record 4
# PBE CaGaSeBr2, optimized geometry
# Spin magnetization in μB/f.u.: 0.000
# Raw total energy in eV per atom: -2.85
# Distance to the lowest polymorph of the same formula in eV/atom: 0.379
# Crystal system: tetragonal
data_CaGaSeBr2
_chemical_formula_sum 'Ca1 Ga1 Se1 Br2'
_space_group_name_H-M_alt 'P 1'
_space_group_IT_number 1
_cell_length_a 4.8718
_cell_length_b 12.3289
_cell_length_c 4.8718
_cell_angle_alpha 90.00
_cell_angle_beta 90.00
_cell_angle_gamma 90.00
loop_
_space_group_symop_operation_xyz
'x,y,z'
loop_
_atom_site_label
_atom_site_type_symbol
_atom_site_fract_x
_atom_site_fract_y
_atom_site_fract_z
_atom_site_occupancy
Ga1 Ga 0.0000 0.0000 0.0000 1
Ca1 Ca 0.0000 0.5000 0.0000 1
Se1 Se 0.5000 0.5000 0.5000 1
Br1 Br 0.0000 0.0000 0.5000 1
Br2 Br 0.5000 0.0000 0.0000 1

=====

Record 5
# PBE Cd8Ag6Au, optimized geometry
# Spin magnetization in μB/f.u.: 0.000
# Raw total energy in eV per atom: -1.83
# Formation energy from the elements in eV per atom: 0.02
# Distance to the lowest polymorph of the same formula in eV/atom: 0.026
# Crystal system: trigonal
data_Cd8Ag6Au
_chemical_formula_sum 'Cd8 Ag6 Au1'
_space_group_name_H-M_alt 'P 1'
_space_group_IT_number 1
_cell_length_a 3.9846
_cell_length_b 9.6970
_cell_length_c 9.6970
_cell_angle_alpha 120.00
_cell_angle_beta 90.00
_cell_angle_gamma 90.00
loop_
_space_group_symop_operation_xyz
'x,y,z'
loop_
_atom_site_label
_atom_site_type_symbol
_atom_site_fract_x
_atom_site_fract_y
_atom_site_fract_z
_atom_site_occupancy
Cd1 Cd 0.7658 0.7139 0.9549 1
Cd2 Cd 0.7658 0.0451 0.7590 1
Cd3 Cd 0.7658 0.2410 0.2861 1
Cd4 Cd 0.2342 0.2861 0.0451 1
Cd5 Cd 0.2342 0.9549 0.2410 1
Cd6 Cd 0.2342 0.7590 0.7139 1
Cd7 Cd 0.7512 0.6667 0.3333 1
Cd8 Cd 0.2488 0.3333 0.6667 1
Ag1 Ag 0.7479 0.5070 0.6102 1
Ag2 Ag 0.7479 0.3898 0.8968 1
Ag3 Ag 0.7479 0.1032 0.4930 1
Ag4 Ag 0.2521 0.4930 0.3898 1
Ag5 Ag 0.2521 0.6102 0.1032 1
Ag6 Ag 0.2521 0.8968 0.5070 1
Au1 Au 0.5000 0.0000 0.0000 1

=====

Record 6
# PBE Ta2Mn2Tc, optimized geometry
# Spin magnetization in μB/f.u.: 0.000
# Raw total energy in eV per atom: -10.44
# Formation energy from the elements in eV per atom: 0.05
# Crystal system: tetragonal
data_Ta2Mn2Tc
_chemical_formula_sum 'Ta4 Mn4 Tc2'
_space_group_name_H-M_alt 'P 1'
_space_group_IT_number 1
_cell_length_a 6.1072
_cell_length_b 6.1072
_cell_length_c 4.0297
_cell_angle_alpha 90.00
_cell_angle_beta 90.00
_cell_angle_gamma 90.00
loop_
_space_group_symop_operation_xyz
'x,y,z'
loop_
_atom_site_label
_atom_site_type_symbol
_atom_site_fract_x
_atom_site_fract_y
_atom_site_fract_z
_atom_site_occupancy
Mn1 Mn 0.3805 0.8805 0.0000 1
Mn2 Mn 0.8805 0.6195 0.0000 1
Mn3 Mn 0.6195 0.1195 0.0000 1
Mn4 Mn 0.1195 0.3805 0.0000 1
Tc1 Tc 0.0000 0.0000 0.0000 1
Tc2 Tc 0.5000 0.5000 0.0000 1
Ta1 Ta 0.1816 0.6816 0.5000 1
Ta2 Ta 0.6816 0.8184 0.5000 1
Ta3 Ta 0.8184 0.3184 0.5000 1
Ta4 Ta 0.3184 0.1816 0.5000 1